DFT (PBE) results for a geometry-optimized Cd2B structure.

```
6
Lattice="-3.211 3.197 3.332 -1.177 5.299 -1.472 -5.211 1.382 -1.602" Properties=species:S:1:pos:R:3 pbc="T T T"
B 0.000 0.000 0.000
B -2.400 2.470 0.064
Cd -3.394 5.483 0.962
Cd -5.411 3.525 0.897
Cd -4.394 4.576 -1.505
Cd -6.000 6.174 0.161
```

Properties
Relative energy among the computed polymorphs ... 750 meV/atom
SG ... Fd-3m, No. 227

***

DFT (PBE) results for a geometry-optimized CdB2 structure.

```
6
Lattice="2.428 2.738 2.778 -0.820 -0.004 4.521 3.078 -1.809 2.892" Properties=species:S:1:pos:R:3 pbc="T T T"
B 1.390 1.483 4.923
B 3.339 0.580 4.109
B 1.715 -0.791 4.980
B 2.929 0.578 6.369
Cd 0.000 0.000 0.000
Cd 1.172 0.231 2.548
```

Properties
SG ... Fd-3m, No. 227

***

DFT (PBE) results for a geometry-optimized Cd5B3ClO9 structure.

```
18
Lattice="-0.058 4.754 7.665 -1.265 -8.905 -0.686 3.475 -0.231 -0.125" Properties=species:S:1:pos:R:3 pbc="T T T"
B 0.644 1.261 7.149
B -0.084 -6.974 2.114
B 2.566 -2.806 4.218
Cd 0.702 -1.268 1.973
Cd 0.988 -1.966 7.015
Cd 0.680 -5.455 4.882
Cd 2.742 0.161 4.753
Cd 2.319 -4.630 1.824
Cl 2.404 -0.376 0.267
O -0.763 -1.870 5.522
O -0.947 -3.952 4.249
O 0.139 2.201 6.266
O -0.634 -6.549 0.917
O 0.979 0.654 3.333
O 0.624 -3.368 0.874
O 1.280 0.170 6.586
O 0.729 -6.069 2.772
O 2.445 -2.078 3.046
```

Properties
SG ... Cm, No. 8

***

DFT (PBE) results for a geometry-optimized Cd2CoB structure.

```
4
Lattice="0.000 3.091 3.091 3.091 0.000 3.091 3.091 3.091 0.000" Properties=species:S:1:pos:R:3 pbc="T T T"
B 3.091 3.091 3.091
Cd 0.000 0.000 0.000
Cd 4.637 4.637 4.637
Co 1.546 1.546 1.546
```

Properties
SG ... F-43m, No. 216
Total magnetic moment ... 0.98 μB per cell

***

DFT (PBE) results for a geometry-optimized CdCoB2 structure.

```
4
Lattice="0.000 2.833 2.833 2.833 0.000 2.833 2.833 2.833 0.000" Properties=species:S:1:pos:R:3 pbc="T T T"
B 0.000 0.000 0.000
B 4.249 4.249 4.249
Cd 2.833 2.833 2.833
Co 1.416 1.416 1.416
```

Properties
SG ... F-43m, No. 216
Total magnetic moment ... 0.03 μB per cell

***

DFT (PBE) results for a geometry-optimized CdCo2B structure.

```
4
Lattice="0.000 2.879 2.879 2.879 0.000 2.879 2.879 2.879 0.000" Properties=species:S:1:pos:R:3 pbc="T T T"
B 2.879 2.879 2.879
Cd 1.440 1.440 1.440
Co 0.000 0.000 0.000
Co 4.319 4.319 4.319
```

Properties
SG ... F-43m, No. 216
Total magnetic moment ... 0.01 μB per cell

***

Electronic total energy list, top to bottom, in eV per atom: -1.39; -3.10; -5.59; -2.91; -3.83; -4.58